No. 1
The following is a GGA-PBE calculation of crystalline Mn5C at its relaxed geometry, from Alexandria.

Geometry as extended XYZ:
```
6
Lattice="-0.363 -0.111 4.251 -1.486 -3.235 -2.354 3.909 -2.000 0.282" Properties=species:S:1:pos:R:3 pbc="T T T"
Mn -0.737 -1.152 2.049
Mn 1.030 -2.673 1.089
Mn 1.773 -1.055 2.266
Mn -1.112 -2.194 -0.152
Mn 1.211 -2.618 -1.036
C 0.000 0.000 0.000
```

DOS(E_F): 1.40 states/eV per atom
Formation energy: 1262 meV/atom
Relative energy among the computed polymorphs: 1187 meV/atom
Symmetry: No. 191

No. 2
The following is a GGA-PBE calculation of crystalline MnC2 at its relaxed geometry, from Alexandria.

Geometry as extended XYZ:
```
6
Lattice="4.682 -1.825 1.350 5.195 0.079 -0.272 0.460 2.200 2.728" Properties=species:S:1:pos:R:3 pbc="T T T"
C 2.504 0.484 1.361
C 5.157 -0.238 1.354
C 5.180 0.692 2.452
C 7.833 -0.030 2.444
Mn 8.735 -1.452 1.061
Mn 1.602 1.905 2.744
```

DOS(E_F): 0.49 states/eV per atom
Formation energy: 609 meV/atom
Relative energy among the computed polymorphs: 103 meV/atom
Symmetry: No. 12

No. 3
The following is a GGA-PBE calculation of crystalline MnC at its relaxed geometry, from Alexandria.

Geometry as extended XYZ:
```
4
Lattice="-1.068 5.980 2.184 -2.917 4.707 3.318 -0.952 5.540 4.670" Properties=species:S:1:pos:R:3 pbc="T T T"
Mn -4.564 14.311 8.629
Mn -0.373 1.915 1.543
C -3.228 10.705 6.758
C -1.709 5.521 3.414
```

DOS(E_F): 0.65 states/eV per atom
Formation energy: 379 meV/atom
Symmetry: No. 12

No. 4
The following is a GGA-PBE calculation of crystalline MnC at its relaxed geometry, from Alexandria.

Geometry as extended XYZ:
```
16
Lattice="-0.360 -5.893 -0.700 4.503 0.185 -3.877 3.865 -0.765 4.452" Properties=species:S:1:pos:R:3 pbc="T T T"
C 2.565 -4.112 -0.273
C 1.321 -1.067 -0.021
C 6.929 -1.456 0.365
C 4.097 -4.892 -3.088
C 3.958 -2.421 1.426
C 5.325 -4.304 -0.083
C 3.670 -5.529 2.494
C 4.169 -2.108 -1.321
Mn 4.047 -3.999 -1.457
Mn 0.987 -5.073 -0.503
Mn 4.349 -0.871 -2.700
Mn 5.351 -2.416 0.134
Mn 3.908 -1.528 3.058
Mn 6.772 -5.473 -0.106
Mn 3.850 -4.293 1.115
Mn 2.768 -2.237 -0.043
```

DOS(E_F): 0.94 states/eV per atom
Formation energy: 647 meV/atom
Symmetry: No. 217

No. 5
The following is a GGA-PBE calculation of crystalline Mn3C at its relaxed geometry, from Alexandria.

Geometry as extended XYZ:
```
8
Lattice="-1.588 1.588 7.936 1.588 -1.588 7.936 1.588 1.588 -7.936" Properties=species:S:1:pos:R:3 pbc="T T T"
Mn 0.000 0.000 13.876
Mn 0.000 0.000 1.996
Mn 0.000 1.588 3.968
Mn 0.000 1.588 0.000
Mn 1.588 0.000 3.968
Mn 1.588 0.000 0.000
C 0.000 0.000 9.315
C 0.000 0.000 6.558
```

DOS(E_F): 0.97 states/eV per atom
Formation energy: 590 meV/atom
Symmetry: No. 139

No. 6
The following is a GGA-PBE calculation of crystalline MnC at its relaxed geometry, from Alexandria.

Geometry as extended XYZ:
```
8
Lattice="-0.342 -0.724 -3.950 -2.580 -2.999 0.773 -3.078 2.594 -0.209" Properties=species:S:1:pos:R:3 pbc="T T T"
Mn -0.868 -0.163 -0.490
Mn -4.313 -1.149 -0.877
Mn -3.770 0.687 -2.451
Mn -3.050 -1.631 -2.954
C -2.819 -2.971 -1.597
C -2.520 -0.474 -1.422
C -4.355 0.589 -0.060
C -2.307 0.599 -3.693
```

DOS(E_F): 0.65 states/eV per atom
Formation energy: 543 meV/atom
Symmetry: No. 198

No. 7
The following is a GGA-PBE calculation of crystalline MnC2 at its relaxed geometry, from Alexandria.

Geometry as extended XYZ:
```
3
Lattice="-1.167 2.025 -1.006 -1.380 -1.534 -1.488 -2.309 -0.176 2.324" Properties=species:S:1:pos:R:3 pbc="T T T"
C -1.845 -0.855 0.418
C -1.738 0.924 0.659
Mn 0.000 0.000 0.000
```

DOS(E_F): 0.59 states/eV per atom
Formation energy: 1321 meV/atom
Relative energy among the computed polymorphs: 815 meV/atom
Symmetry: No. 123

No. 8
The following is a GGA-PBE calculation of crystalline MnC2 at its relaxed geometry, from Alexandria.

Geometry as extended XYZ:
```
6
Lattice="-2.895 -2.579 -0.167 0.763 -0.061 3.805 -0.909 3.508 -1.388" Properties=species:S:1:pos:R:3 pbc="T T T"
Mn -0.533 -0.660 0.909
Mn -1.599 -1.980 2.728
C -0.668 -0.118 2.924
C -0.510 1.423 0.734
C -2.531 -0.555 1.515
C -2.373 0.987 -0.675
```

DOS(E_F): 0.46 states/eV per atom
Formation energy: 815 meV/atom
Relative energy among the computed polymorphs: 309 meV/atom
Symmetry: No. 140

No. 9
The following is a GGA-PBE calculation of crystalline MnC2 at its relaxed geometry, from Alexandria.

Geometry as extended XYZ:
```
12
Lattice="-1.600 0.524 1.836 4.775 -2.470 4.865 1.995 4.659 0.407" Properties=species:S:1:pos:R:3 pbc="T T T"
C 3.388 3.782 1.871
C 5.267 2.810 3.786
C 1.591 1.715 2.586
C 4.778 0.218 4.100
C 3.470 0.743 4.501
C 2.080 4.307 2.272
C 4.976 2.809 5.222
C 1.882 1.716 1.150
Mn 2.911 -0.012 2.540
Mn 3.109 2.580 3.662
Mn 1.521 3.553 0.311
Mn -0.276 1.486 1.025
```

DOS(E_F): 0.55 states/eV per atom
Formation energy: 713 meV/atom
Relative energy among the computed polymorphs: 207 meV/atom
Symmetry: No. 42

No. 10
The following is a GGA-PBE calculation of crystalline MnC at its relaxed geometry, from Alexandria.

Geometry as extended XYZ:
```
4
Lattice="3.649 0.003 0.000 2.643 2.516 0.000 0.220 0.088 3.458" Properties=species:S:1:pos:R:3 pbc="T T T"
Mn 4.985 1.995 3.007
Mn 3.156 1.263 1.316
C 0.467 0.187 2.844
C 1.381 0.553 1.478
```

DOS(E_F): 0.58 states/eV per atom
Formation energy: 468 meV/atom
Symmetry: No. 12

No. 11
The following is a GGA-PBE calculation of crystalline Mn7C at its relaxed geometry, from Alexandria.

Geometry as extended XYZ:
```
8
Lattice="0.000 3.483 3.483 3.483 0.000 3.483 3.483 3.483 0.000" Properties=species:S:1:pos:R:3 pbc="T T T"
C 0.000 0.000 0.000
Mn 3.483 3.483 3.483
Mn 1.741 1.741 0.000
Mn 0.000 1.741 1.741
Mn 1.741 3.483 1.741
Mn 3.483 1.741 1.741
Mn 1.741 1.741 3.483
Mn 1.741 0.000 1.741
```

DOS(E_F): 1.08 states/eV per atom
Formation energy: 472 meV/atom
Symmetry: No. 225

No. 12
The following is a GGA-PBE calculation of crystalline Mn3C at its relaxed geometry, from Alexandria.

Geometry as extended XYZ:
```
4
Lattice="-1.410 2.899 -2.188 -3.361 -1.931 -0.394 -1.377 1.745 3.200" Properties=species:S:1:pos:R:3 pbc="T T T"
Mn -1.680 -0.966 -0.197
Mn -0.689 0.872 1.600
Mn -0.705 1.450 -1.094
C 0.000 0.000 0.000
```

DOS(E_F): 1.27 states/eV per atom
Formation energy: 641 meV/atom
Symmetry: No. 221

No. 13
The following is a GGA-PBE calculation of crystalline Mn5C at its relaxed geometry, from Alexandria.

Geometry as extended XYZ:
```
6
Lattice="-3.782 -1.094 1.709 -3.691 -2.078 -0.695 1.079 -5.222 2.179" Properties=species:S:1:pos:R:3 pbc="T T T"
Mn -2.271 -2.393 0.894
Mn -4.906 -2.274 0.745
Mn -4.791 -5.480 2.062
Mn 0.174 -2.361 0.973
Mn -2.266 -5.543 2.184
C -7.269 -3.306 1.078
```

DOS(E_F): 1.12 states/eV per atom
Formation energy: 75 meV/atom
Relative energy among the computed polymorphs: 0 meV/atom
Symmetry: No. 8